# ScFe4Ge

ScFe4Ge after structural relaxation (GGA-PBE, Alexandria via LeMat-Bulk).

Properties
ΔH_f (0 K) = -0.9 eV per formula unit
total DFT energy (no corrections) = -45.67 eV for the cell shown
D(E_F) = 0.795 states/eV per atom

```
ScFe4Ge
1.0
-0.531 4.011 2.629
-1.672 -0.280 4.517
2.950 0.853 3.721
Sc Ge Fe
1 1 4
Cartesian
0.000 0.000 0.000 Sc
0.187 1.146 2.717 Ge
-1.000 2.437 4.934 Fe
1.298 3.001 4.539 Fe
0.467 2.861 6.784 Fe
0.731 0.868 5.477 Fe
```

=====

# ScFeGe2

ScFeGe2 after structural relaxation (GGA-PBE, Alexandria via LeMat-Bulk).

Properties
ΔH_f (0 K) = -2.2 eV per formula unit
total DFT energy (no corrections) = -314.16 eV for the cell shown
D(E_F) = 1.226 states/eV per atom

```
ScFeGe2
1.0
-0.722 -5.332 -5.970
9.163 -0.248 -0.887
0.440 -7.506 6.650
Sc Ge Fe
12 24 12
Cartesian
3.220 -2.505 1.848 Sc
6.384 -5.249 3.915 Sc
7.737 -1.539 0.438 Sc
1.866 -6.215 5.325 Sc
6.408 -8.604 4.300 Sc
2.847 -1.722 -1.416 Sc
1.274 -8.197 -1.044 Sc
7.233 -7.650 -2.254 Sc
2.473 -4.482 -4.507 Sc
6.034 -11.364 1.209 Sc
7.607 -4.889 0.837 Sc
1.648 -5.436 2.047 Sc
4.649 -3.742 -2.630 Ge
4.232 -9.344 2.423 Ge
0.177 -5.487 -0.530 Ge
8.703 -7.599 0.323 Ge
0.544 -2.837 2.468 Ge
9.060 -4.917 3.295 Ge
5.013 -1.060 0.340 Ge
4.590 -6.694 5.423 Ge
0.831 -3.409 -2.465 Ge
8.050 -9.677 2.258 Ge
5.549 -5.862 -0.846 Ge
3.332 -7.224 0.639 Ge
2.740 -5.985 -2.101 Ge
5.914 -8.781 0.012 Ge
7.488 -3.390 -1.583 Ge
1.621 -8.015 3.257 Ge
6.141 -7.101 1.894 Ge
2.967 -4.305 -0.219 Ge
1.393 -9.696 1.376 Ge
7.260 -5.071 -3.465 Ge
3.654 -4.617 3.681 Ge
5.949 -3.137 2.082 Ge
8.365 -6.949 5.194 Ge
1.238 -0.805 0.569 Ge
-0.546 -4.026 -4.508 Fe
4.625 -5.182 1.420 Fe
-0.177 -1.305 -1.462 Fe
4.256 -7.903 -1.627 Fe
0.699 -3.239 0.097 Fe
8.542 -7.187 2.674 Fe
4.919 -6.011 -3.335 Fe
3.601 -9.734 0.149 Fe
8.182 -9.847 -0.304 Fe
0.339 -5.899 -2.881 Fe
3.961 -7.074 3.128 Fe
5.280 -3.352 -0.357 Fe
```

=====

# ScFeGe2

ScFeGe2 after structural relaxation (GGA-PBE, Alexandria via LeMat-Bulk).

Properties
ΔH_f (0 K) = -0.7 eV per formula unit
total DFT energy (no corrections) = -24.68 eV for the cell shown
D(E_F) = 0.971 states/eV per atom

```
ScFeGe2
1.0
-1.317 -4.198 0.526
-2.738 -1.064 3.318
-4.196 -1.130 -0.866
Sc Ge Fe
1 2 1
Cartesian
0.000 0.000 0.000 Sc
-2.063 -1.598 0.744 Ge
-6.188 -4.794 2.233 Ge
-4.126 -3.196 1.489 Fe
```

=====

# Sc4Fe2Ge5

Sc4Fe2Ge5 after structural relaxation (GGA-PBE, Alexandria via LeMat-Bulk).

Properties
ΔH_f (0 K) = -6.4 eV per formula unit
total DFT energy (no corrections) = -143.41 eV for the cell shown
D(E_F) = 0.756 states/eV per atom

```
Sc4Fe2Ge5
1.0
5.114 0.000 -1.401
-0.951 7.428 -3.471
-0.049 0.014 9.858
Sc Fe Ge
8 4 10
Cartesian
4.567 1.638 6.640 Sc
-0.453 5.804 -1.653 Sc
2.529 2.486 -0.803 Sc
1.586 4.957 5.790 Sc
3.251 0.297 1.832 Sc
0.864 7.145 3.155 Sc
3.623 5.566 3.192 Sc
0.492 1.877 1.795 Sc
4.176 5.210 0.193 Fe
2.496 2.232 4.093 Fe
-0.061 2.232 4.794 Fe
1.619 5.210 0.894 Fe
1.279 0.000 -0.350 Ge
3.836 0.000 -1.050 Ge
2.349 5.075 -1.460 Ge
1.766 2.367 6.447 Ge
4.142 3.778 5.087 Ge
-0.027 3.664 -0.100 Ge
3.058 7.357 1.129 Ge
1.057 0.085 3.858 Ge
0.885 4.356 3.231 Ge
3.230 3.086 1.756 Ge
```

=====

# ScFeGe2

ScFeGe2 after structural relaxation (GGA-PBE, Alexandria via LeMat-Bulk).

Properties
ΔH_f (0 K) = -1.6 eV per formula unit
total DFT energy (no corrections) = -25.64 eV for the cell shown
D(E_F) = 0.702 states/eV per atom

```
ScFeGe2
1.0
3.996 0.000 0.000
1.998 3.460 0.000
1.998 1.153 4.636
Sc Ge Fe
1 2 1
Cartesian
0.000 0.000 0.000 Sc
5.994 3.460 3.112 Ge
1.998 1.153 1.524 Ge
3.996 2.307 2.318 Fe
```

=====

# Sc3Fe2Ge4

Sc3Fe2Ge4 after structural relaxation (GGA-PBE, Alexandria via LeMat-Bulk).

Properties
ΔH_f (0 K) = -5.4 eV per formula unit
total DFT energy (no corrections) = -59.82 eV for the cell shown
D(E_F) = 0.739 states/eV per atom

```
Sc3Fe2Ge4
1.0
-1.684 -3.662 0.897
4.757 0.760 2.530
-5.499 3.522 4.055
Sc Fe Ge
3 2 4
Cartesian
-3.635 0.324 4.003 Sc
0.000 0.000 0.000 Sc
1.209 0.296 3.479 Sc
-1.431 -0.937 2.993 Fe
-0.995 1.557 4.489 Fe
0.376 -2.005 2.024 Ge
-2.802 2.625 5.458 Ge
-0.934 -0.595 5.322 Ge
-1.491 1.215 2.161 Ge
```

=====

# ScFe2Ge

ScFe2Ge after structural relaxation (GGA-PBE, Alexandria via LeMat-Bulk).

Properties
ΔH_f (0 K) = 0.9 eV per formula unit
total DFT energy (no corrections) = -54.04 eV for the cell shown
D(E_F) = 1.012 states/eV per atom

```
ScFe2Ge
1.0
-3.954 5.161 -2.674
-2.637 -4.475 -4.737
-5.246 -0.283 -2.029
Sc Ge Fe
2 2 4
Cartesian
-3.296 0.343 -3.706 Sc
-5.589 -2.208 -5.236 Sc
0.000 0.000 0.000 Ge
-6.248 2.610 -4.204 Ge
-4.254 2.780 -2.867 Fe
-3.312 -2.407 -3.706 Fe
-6.312 0.205 -4.131 Fe
-9.796 0.228 -8.176 Fe
```

=====

# ScFeGe2

ScFeGe2 after structural relaxation (GGA-PBE, Alexandria via LeMat-Bulk).

Properties
ΔH_f (0 K) = 0.0 eV per formula unit
total DFT energy (no corrections) = -47.97 eV for the cell shown
D(E_F) = 0.813 states/eV per atom

```
ScFeGe2
1.0
4.244 0.000 0.000
0.000 4.244 0.000
2.122 2.122 8.436
Sc Ge Fe
2 4 2
Cartesian
2.122 2.122 0.000 Sc
2.122 4.244 4.218 Sc
3.541 1.061 2.109 Ge
0.703 3.183 2.109 Ge
3.183 2.825 6.327 Ge
5.305 5.663 6.327 Ge
0.000 0.000 0.000 Fe
4.244 2.122 4.218 Fe
```

=====

# ScFe4Ge2

ScFe4Ge2 after structural relaxation (GGA-PBE, Alexandria via LeMat-Bulk).

Properties
ΔH_f (0 K) = -2.1 eV per formula unit
total DFT energy (no corrections) = -102.95 eV for the cell shown
D(E_F) = 0.885 states/eV per atom

```
ScFe4Ge2
1.0
3.908 0.000 0.000
0.000 6.958 0.000
0.000 0.000 6.958
Sc Fe Ge
2 8 4
Cartesian
1.954 0.000 0.000 Sc
0.000 3.479 3.479 Sc
0.000 0.679 2.504 Fe
0.000 6.279 4.454 Fe
1.954 0.975 4.158 Fe
1.954 5.984 2.800 Fe
1.954 2.800 5.984 Fe
1.954 4.158 0.975 Fe
0.000 2.504 0.679 Fe
0.000 4.454 6.279 Fe
0.000 1.482 5.476 Ge
0.000 5.476 1.482 Ge
1.954 4.961 4.961 Ge
1.954 1.997 1.997 Ge
```

=====

# Sc3FeGe3

Sc3FeGe3 after structural relaxation (GGA-PBE, Alexandria via LeMat-Bulk).

Properties
ΔH_f (0 K) = -5.1 eV per formula unit
total DFT energy (no corrections) = -92.76 eV for the cell shown
D(E_F) = 0.661 states/eV per atom

```
Sc3FeGe3
1.0
3.984 0.000 0.600
1.966 5.046 0.474
0.163 0.046 12.442
Sc Fe Ge
6 2 6
Cartesian
2.844 1.682 8.172 Sc
3.270 3.409 5.344 Sc
1.566 1.295 3.128 Sc
4.547 3.796 10.388 Sc
2.296 1.425 11.808 Sc
3.817 3.667 1.708 Sc
3.228 0.393 5.619 Fe
2.885 4.698 7.897 Fe
4.954 3.698 7.690 Ge
1.160 1.394 5.826 Ge
2.270 4.168 11.978 Ge
3.843 0.924 1.538 Ge
5.513 4.253 3.977 Ge
0.600 0.839 9.539 Ge
```

=====

# ScFeGe2

ScFeGe2 after structural relaxation (GGA-PBE, Alexandria via LeMat-Bulk).

Properties
ΔH_f (0 K) = -1.4 eV per formula unit
total DFT energy (no corrections) = -50.88 eV for the cell shown
D(E_F) = 0.650 states/eV per atom

```
ScFeGe2
1.0
3.774 0.003 -0.001
0.005 4.959 0.259
-1.889 -2.023 7.116
Sc Fe Ge
2 2 4
Cartesian
0.803 1.461 7.156 Sc
2.696 3.304 3.712 Sc
-1.084 -0.947 6.847 Fe
0.803 0.749 3.763 Fe
0.789 -0.335 1.648 Ge
-1.084 0.862 5.130 Ge
0.803 -1.060 5.481 Ge
0.819 2.160 1.847 Ge
```

=====

# Sc2FeGe

Sc2FeGe after structural relaxation (GGA-PBE, Alexandria via LeMat-Bulk).

Properties
ΔH_f (0 K) = 0.4 eV per formula unit
total DFT energy (no corrections) = -50.74 eV for the cell shown
D(E_F) = 1.077 states/eV per atom

```
Sc2FeGe
1.0
-2.787 -0.644 -6.596
3.877 -5.962 -1.055
-1.563 -4.858 -2.783
Sc Ge Fe
4 2 2
Cartesian
-1.540 -2.338 -4.695 Sc
1.576 -5.046 -2.435 Sc
-0.613 -6.352 -4.997 Sc
-0.368 -9.193 -8.741 Sc
0.000 0.000 0.000 Ge
-1.902 -4.403 -6.602 Ge
0.545 -3.303 -3.826 Fe
1.429 -7.062 -3.832 Fe
```